1.
Density functional theory data (GGA-PBE) for a relaxed structure of Nd2Sm2Ho2In.

a = 6.371 Å, b = 6.371 Å, c = 11.514 Å
α = 115.48°, β = 115.48°, γ = 33.57°
Sites, in units of the cell vectors:
Nd: 0.021 0.021 0.246
Nd: 0.979 0.979 0.754
Sm: 0.182 0.182 0.590
Sm: 0.818 0.818 0.410
Ho: 0.239 0.239 0.120
Ho: 0.761 0.761 0.880
In: 0.500 0.500 0.000

Summary:
* crystal system: monoclinic
* raw total energy: -4.44 eV per atom


2.
Density functional theory data (GGA-PBE) for a relaxed structure of NdSm2HoIn2.

a = 5.277 Å, b = 10.023 Å, c = 6.815 Å
α = 90.00°, β = 90.00°, γ = 90.00°
Sites, in units of the cell vectors:
Nd: 0.000 0.040 0.000
Nd: 0.000 0.960 0.500
Sm: 0.000 0.321 0.356
Sm: 0.000 0.679 0.856
Sm: 0.500 0.458 0.076
Sm: 0.500 0.542 0.576
Ho: 0.500 0.184 0.724
Ho: 0.500 0.816 0.224
In: 0.000 0.355 0.828
In: 0.000 0.645 0.328
In: 0.500 0.139 0.255
In: 0.500 0.861 0.755

Summary:
* crystal system: orthorhombic
* raw total energy: -4.39 eV per atom


3.
Density functional theory data (GGA-PBE) for a relaxed structure of Nd2Sm3Ho6In.

a = 6.123 Å, b = 6.123 Å, c = 11.753 Å
α = 95.00°, β = 95.00°, γ = 120.02°
Sites, in units of the cell vectors:
Nd: 0.166 0.834 0.000
Nd: 0.834 0.166 0.000
Sm: 0.000 0.000 0.500
Sm: 0.333 0.667 0.500
Sm: 0.667 0.333 0.500
Ho: 0.091 0.418 0.753
Ho: 0.255 0.255 0.248
Ho: 0.418 0.091 0.753
Ho: 0.582 0.909 0.247
Ho: 0.745 0.745 0.752
Ho: 0.909 0.582 0.247
In: 0.500 0.500 0.000

Summary:
* crystal system: monoclinic
* raw total energy: -4.55 eV per atom


4.
Density functional theory data (GGA-PBE) for a relaxed structure of Nd2Sm6Ho3In.

a = 6.177 Å, b = 6.177 Å, c = 11.844 Å
α = 95.00°, β = 95.00°, γ = 120.08°
Sites, in units of the cell vectors:
Nd: 0.166 0.834 0.000
Nd: 0.834 0.166 0.000
Sm: 0.090 0.416 0.749
Sm: 0.258 0.258 0.252
Sm: 0.416 0.090 0.749
Sm: 0.584 0.910 0.251
Sm: 0.742 0.742 0.748
Sm: 0.910 0.584 0.251
Ho: 0.000 0.000 0.500
Ho: 0.333 0.667 0.500
Ho: 0.667 0.333 0.500
In: 0.500 0.500 0.000

Summary:
* crystal system: monoclinic
* raw total energy: -4.58 eV per atom


5.
Density functional theory data (GGA-PBE) for a relaxed structure of NdSmHo2In4.

a = 9.318 Å, b = 9.318 Å, c = 9.318 Å
α = 33.49°, β = 33.49°, γ = 33.49°
Sites, in units of the cell vectors:
Nd: 0.000 0.000 0.000
Sm: 0.500 0.500 0.500
Ho: 0.250 0.250 0.250
Ho: 0.750 0.750 0.750
In: 0.126 0.126 0.126
In: 0.376 0.376 0.376
In: 0.624 0.624 0.624
In: 0.874 0.874 0.874

Summary:
* crystal system: trigonal
* raw total energy: -4.17 eV per atom


6.
Density functional theory data (GGA-PBE) for a relaxed structure of Nd6Sm3Ho2In.

a = 6.262 Å, b = 6.262 Å, c = 11.865 Å
α = 95.15°, β = 95.15°, γ = 120.24°
Sites, in units of the cell vectors:
Nd: 0.080 0.407 0.244
Nd: 0.246 0.246 0.754
Nd: 0.407 0.080 0.244
Nd: 0.593 0.920 0.756
Nd: 0.754 0.754 0.246
Nd: 0.920 0.593 0.756
Sm: 0.169 0.831 0.500
Sm: 0.500 0.500 0.500
Sm: 0.831 0.169 0.500
Ho: 0.334 0.666 0.000
Ho: 0.666 0.334 0.000
In: 0.000 0.000 0.000

Summary:
* crystal system: monoclinic
* raw total energy: -4.59 eV per atom


7.
Density functional theory data (GGA-PBE) for a relaxed structure of NdHoInSn.

a = 5.405 Å, b = 5.405 Å, c = 5.405 Å
α = 60.00°, β = 60.00°, γ = 60.00°
Sites, in units of the cell vectors:
Nd: 0.000 0.000 0.000
Ho: 0.500 0.500 0.500
In: 0.250 0.250 0.250
Sn: 0.750 0.750 0.750

Summary:
* energy above the most stable polymorph in this dataset: 0.100 eV/atom
* crystal system: cubic


8.
Density functional theory data (GGA-PBE) for a relaxed structure of NdHoInSn.

a = 4.364 Å, b = 6.239 Å, c = 6.239 Å
α = 43.43°, β = 90.00°, γ = 90.00°
Sites, in units of the cell vectors:
Nd: 0.000 0.000 0.000
Ho: 0.500 0.727 0.727
In: 0.500 0.449 0.449
Sn: 0.000 0.276 0.276

Summary:
* energy above the most stable polymorph in this dataset: 0.000 eV/atom
* crystal system: orthorhombic


9.
Density functional theory data (GGA-PBE) for a relaxed structure of TbNdHo2In4.

a = 9.285 Å, b = 9.285 Å, c = 9.285 Å
α = 33.48°, β = 33.48°, γ = 33.48°
Sites, in units of the cell vectors:
Tb: 0.000 0.000 0.000
Nd: 0.500 0.500 0.500
Ho: 0.250 0.250 0.250
Ho: 0.750 0.750 0.750
In: 0.124 0.124 0.124
In: 0.374 0.374 0.374
In: 0.626 0.626 0.626
In: 0.876 0.876 0.876

Summary:
* crystal system: trigonal
* raw total energy: -4.16 eV per atom


10.
Density functional theory data (GGA-PBE) for a relaxed structure of TbNdHoIn.

a = 5.508 Å, b = 5.508 Å, c = 5.508 Å
α = 60.00°, β = 60.00°, γ = 60.00°
Sites, in units of the cell vectors:
Tb: 0.000 0.000 0.000
Nd: 0.500 0.500 0.500
Ho: 0.250 0.250 0.250
In: 0.750 0.750 0.750

Summary:
* energy above the most stable polymorph in this dataset: 0.000 eV/atom
* crystal system: cubic


11.
Density functional theory data (GGA-PBE) for a relaxed structure of TbNdHoIn.

a = 5.495 Å, b = 5.495 Å, c = 5.495 Å
α = 60.00°, β = 60.00°, γ = 60.00°
Sites, in units of the cell vectors:
Tb: 0.000 0.000 0.000
Nd: 0.250 0.250 0.250
Ho: 0.500 0.500 0.500
In: 0.750 0.750 0.750

Summary:
* energy above the most stable polymorph in this dataset: 0.046 eV/atom
* crystal system: cubic


12.
Density functional theory data (GGA-PBE) for a relaxed structure of NdHoIn2Te4.

a = 7.733 Å, b = 4.459 Å, c = 8.504 Å
α = 90.00°, β = 107.59°, γ = 90.00°
Sites, in units of the cell vectors:
Nd: 0.000 0.000 0.000
Ho: 0.500 0.500 0.000
In: 0.000 0.500 0.500
In: 0.500 0.000 0.500
Te: 0.250 0.500 0.225
Te: 0.268 0.000 0.780
Te: 0.732 0.000 0.220
Te: 0.750 0.500 0.775

Summary:
* crystal system: monoclinic
* raw total energy: -4.40 eV per atom


13.
Density functional theory data (GGA-PBE) for a relaxed structure of NdHo2In3Te6.

a = 7.693 Å, b = 7.693 Å, c = 8.507 Å
α = 98.67°, β = 98.67°, γ = 119.99°
Sites, in units of the cell vectors:
Nd: 0.000 0.000 0.000
Ho: 0.333 0.667 0.000
Ho: 0.667 0.333 0.000
In: 0.164 0.836 0.500
In: 0.500 0.500 0.500
In: 0.836 0.164 0.500
Te: 0.074 0.416 0.222
Te: 0.269 0.269 0.781
Te: 0.416 0.074 0.222
Te: 0.584 0.926 0.778
Te: 0.731 0.731 0.219
Te: 0.926 0.584 0.778

Summary:
* crystal system: monoclinic
* raw total energy: -4.39 eV per atom


14.
Density functional theory data (GGA-PBE) for a relaxed structure of NdHoTiIn.

a = 5.318 Å, b = 5.318 Å, c = 5.318 Å
α = 60.00°, β = 60.00°, γ = 60.00°
Sites, in units of the cell vectors:
Nd: 0.000 0.000 0.000
Ho: 0.500 0.500 0.500
Ti: 0.250 0.250 0.250
In: 0.750 0.750 0.750

Summary:
* crystal system: cubic
* raw total energy: -5.06 eV per atom


15.
Density functional theory data (GGA-PBE) for a relaxed structure of NdHoTlIn.

a = 5.416 Å, b = 5.416 Å, c = 5.416 Å
α = 60.00°, β = 60.00°, γ = 60.00°
Sites, in units of the cell vectors:
Nd: 0.000 0.000 0.000
Ho: 0.500 0.500 0.500
Tl: 0.750 0.750 0.750
In: 0.250 0.250 0.250

Summary:
* crystal system: cubic
* raw total energy: -4.03 eV per atom


16.
Density functional theory data (GGA-PBE) for a relaxed structure of NdHo2TmIn4.

a = 9.268 Å, b = 9.268 Å, c = 9.268 Å
α = 33.40°, β = 33.40°, γ = 33.40°
Sites, in units of the cell vectors:
Nd: 0.000 0.000 0.000
Ho: 0.249 0.249 0.249
Ho: 0.751 0.751 0.751
Tm: 0.500 0.500 0.500
In: 0.127 0.127 0.127
In: 0.377 0.377 0.377
In: 0.623 0.623 0.623
In: 0.873 0.873 0.873

Summary:
* crystal system: trigonal
* raw total energy: -4.12 eV per atom


17.
Density functional theory data (GGA-PBE) for a relaxed structure of Nd2Ho6Tm3In.

a = 6.061 Å, b = 6.061 Å, c = 11.662 Å
α = 94.97°, β = 94.97°, γ = 120.03°
Sites, in units of the cell vectors:
Nd: 0.166 0.834 0.000
Nd: 0.834 0.166 0.000
Ho: 0.089 0.416 0.748
Ho: 0.256 0.256 0.253
Ho: 0.416 0.089 0.748
Ho: 0.584 0.911 0.252
Ho: 0.744 0.744 0.747
Ho: 0.911 0.584 0.252
Tm: 0.000 0.000 0.500
Tm: 0.333 0.667 0.500
Tm: 0.667 0.333 0.500
In: 0.500 0.500 0.000

Summary:
* crystal system: monoclinic
* raw total energy: -4.48 eV per atom


18.
Density functional theory data (GGA-PBE) for a relaxed structure of NdHoTmIn.

a = 5.464 Å, b = 5.464 Å, c = 5.464 Å
α = 60.00°, β = 60.00°, γ = 60.00°
Sites, in units of the cell vectors:
Nd: 0.000 0.000 0.000
Ho: 0.750 0.750 0.750
Tm: 0.250 0.250 0.250
In: 0.500 0.500 0.500

Summary:
* energy above the most stable polymorph in this dataset: 0.063 eV/atom
* crystal system: cubic


19.
Density functional theory data (GGA-PBE) for a relaxed structure of NdHoTmIn.

a = 5.477 Å, b = 5.477 Å, c = 5.477 Å
α = 60.00°, β = 60.00°, γ = 60.00°
Sites, in units of the cell vectors:
Nd: 0.000 0.000 0.000
Ho: 0.500 0.500 0.500
Tm: 0.750 0.750 0.750
In: 0.250 0.250 0.250

Summary:
* energy above the most stable polymorph in this dataset: 0.000 eV/atom
* crystal system: cubic


20.
Density functional theory data (GGA-PBE) for a relaxed structure of Nd6Ho3Tm2In.

a = 6.202 Å, b = 6.202 Å, c = 11.758 Å
α = 95.09°, β = 95.09°, γ = 120.12°
Sites, in units of the cell vectors:
Nd: 0.082 0.410 0.747
Nd: 0.246 0.246 0.252
Nd: 0.410 0.082 0.747
Nd: 0.590 0.918 0.253
Nd: 0.754 0.754 0.748
Nd: 0.918 0.590 0.253
Ho: 0.168 0.832 0.000
Ho: 0.500 0.500 0.000
Ho: 0.832 0.168 0.000
Tm: 0.334 0.666 0.500
Tm: 0.666 0.334 0.500
In: 0.000 0.000 0.500

Summary:
* crystal system: monoclinic
* raw total energy: -4.53 eV per atom